# NiIr2Rh PBE optimized geometry
data_NiIr2Rh
_cell_length_a 2.711
_cell_length_b 3.745
_cell_length_c 5.377
_cell_angle_alpha 90.00
_cell_angle_beta 90.00
_cell_angle_gamma 90.00
_symmetry_space_group_name_H-M 'P m m m'
_symmetry_Int_Tables_number 47
loop_
_symmetry_equiv_pos_as_xyz
'x,y,z'
'-x,-y,-z'
'-x,-y,z'
'x,y,-z'
'x,-y,-z'
'-x,y,z'
'-x,y,-z'
'x,-y,z'
loop_
_atom_site_label
_atom_site_type_symbol
_atom_site_fract_x
_atom_site_fract_y
_atom_site_fract_z
Ni1 Ni 0.000 0.000 0.000
Ir1 Ir 0.500 0.500 0.242
Rh1 Rh 0.000 0.000 0.500
# Formation enthalpy at 0 K = 37.3 meV/atom
# ρ = 16.608 g/cm3